Entry 1:
# PBE-GGA CsKIn2Ag, optimized geometry
data_CsKIn2Ag
_cell_length_a 5.529
_cell_length_b 5.529
_cell_length_c 6.369
_cell_angle_alpha 90.00
_cell_angle_beta 90.00
_cell_angle_gamma 90.00
_symmetry_space_group_name_H-M 'P 4/m m m'
_symmetry_Int_Tables_number 123
_symmetry_space_group_name_Hall '-P 4 2'
loop_
_atom_site_label
_atom_site_type_symbol
_atom_site_fract_x
_atom_site_fract_y
_atom_site_fract_z
Cs1 Cs 0.000 0.000 0.000
K1 K 0.500 0.500 0.000
In1 In 0.000 0.500 0.500
Ag1 Ag 0.500 0.500 0.500
# D(E_F) (states/eV per cell): 3.25
# Energy of formation (eV/atom): 0.057

---

Entry 2:
# PBE-GGA CsLi2InAg, optimized geometry
data_CsLi2InAg
_cell_length_a 5.525
_cell_length_b 5.525
_cell_length_c 5.315
_cell_angle_alpha 90.00
_cell_angle_beta 90.00
_cell_angle_gamma 90.00
_symmetry_space_group_name_H-M 'P 4/m m m'
_symmetry_Int_Tables_number 123
_symmetry_space_group_name_Hall '-P 4 2'
loop_
_atom_site_label
_atom_site_type_symbol
_atom_site_fract_x
_atom_site_fract_y
_atom_site_fract_z
Cs1 Cs 0.000 0.000 0.000
Li1 Li 0.000 0.500 0.500
In1 In 0.500 0.500 0.000
Ag1 Ag 0.500 0.500 0.500
# D(E_F) (states/eV per cell): 3.62
# Energy of formation (eV/atom): 0.042

---

Entry 3:
# PBE-GGA CsNa2InAg, optimized geometry
data_CsNa2InAg
_cell_length_a 5.974
_cell_length_b 5.974
_cell_length_c 5.373
_cell_angle_alpha 90.00
_cell_angle_beta 90.00
_cell_angle_gamma 90.00
_symmetry_space_group_name_H-M 'P 4/m m m'
_symmetry_Int_Tables_number 123
_symmetry_space_group_name_Hall '-P 4 2'
loop_
_atom_site_label
_atom_site_type_symbol
_atom_site_fract_x
_atom_site_fract_y
_atom_site_fract_z
Cs1 Cs 0.000 0.000 0.000
Na1 Na 0.000 0.500 0.500
In1 In 0.500 0.500 0.000
Ag1 Ag 0.500 0.500 0.500
# D(E_F) (states/eV per cell): 3.96
# Polymorph energy (0 for the lowest one) (meV per atom): 0.0
# Energy of formation (eV/atom): 0.010